K3ReBr: single point on PBEsol structure, SCAN.

Computed properties:
- Total DFT energy (no corrections): -22.49 eV per atom
- Space group: Pm-3m (221)
- Energy relative to the lowest polymorph listed for this composition: 0.000 eV/atom

Cell and atoms, written as CIF:
```
data_K3ReBr
_cell_length_a 6.0640
_cell_length_b 6.0640
_cell_length_c 6.0640
_cell_angle_alpha 90.00
_cell_angle_beta 90.00
_cell_angle_gamma 90.00
_space_group_name_H-M_alt 'P 1'
_space_group_IT_number 1
loop_
_space_group_symop_operation_xyz
'x,y,z'
loop_
_atom_site_label
_atom_site_type_symbol
_atom_site_fract_x
_atom_site_fract_y
_atom_site_fract_z
K1 K 0.0000 0.0000 0.5000
K2 K 0.0000 0.5000 0.0000
K3 K 0.5000 0.0000 0.0000
Re1 Re 0.5000 0.5000 0.5000
Br1 Br 0.0000 0.0000 0.0000
```